Below is an optimized crystal structure of LiCuTcAs, with properties calculated at the GGA-PBE level.

space-group type	F-43m
energy relative to the lowest polymorph listed for this composition	0.0	meV per atom
total energy	-81.55	eV per cell

The structure in POSCAR format:
```
LiCuTcAs
1.0
5.9130 0.0000 0.0000
0.0000 5.9130 0.0000
0.0000 0.0000 5.9130
Li Cu Tc As
4 4 4 4
Direct
0.0000 0.0000 0.0000 Li
0.0000 0.5000 0.5000 Li
0.5000 0.0000 0.5000 Li
0.5000 0.5000 0.0000 Li
0.2500 0.2500 0.7500 Cu
0.2500 0.7500 0.2500 Cu
0.7500 0.2500 0.2500 Cu
0.7500 0.7500 0.7500 Cu
0.2500 0.2500 0.2500 Tc
0.2500 0.7500 0.7500 Tc
0.7500 0.2500 0.7500 Tc
0.7500 0.7500 0.2500 Tc
0.0000 0.0000 0.5000 As
0.0000 0.5000 0.0000 As
0.5000 0.0000 0.0000 As
0.5000 0.5000 0.5000 As
```